## CsFeO2 (GGA+U)

Data for an optimized crystal structure of CsFeO2. Values from VASP.

```
&SYSTEM
  ibrav = 0, nat = 4, ntyp = 3
/
ATOMIC_SPECIES
Cs 132.91 Cs.upf
Fe 55.84 Fe.upf
O 16.00 O.upf
CELL_PARAMETERS angstrom
-2.1543 -2.5791 -0.9916
3.4579 -0.3332 -0.4559
0.5576 -2.9092 6.3557
ATOMIC_POSITIONS crystal
Cs 0.0000 0.0000 0.9588
Fe 0.3333 0.6667 0.4455
O 0.3333 0.6667 0.6961
O 0.6667 0.3333 0.3546
```

Results
The space group is P3m1, No. 156. The total energy is -5.21 eV per atom.

---

## Cs3FeO (GGA+U)

Data for an optimized crystal structure of Cs3FeO. Values from VASP.

```
&SYSTEM
  ibrav = 0, nat = 5, ntyp = 3
/
ATOMIC_SPECIES
Cs 132.91 Cs.upf
Fe 55.84 Fe.upf
O 16.00 O.upf
CELL_PARAMETERS angstrom
6.0196 0.0000 0.0000
0.0000 6.0196 0.0000
0.0000 0.0000 6.0196
ATOMIC_POSITIONS crystal
Cs 0.0000 0.5000 0.0000
Cs 0.0000 0.0000 0.5000
Cs 0.5000 0.0000 0.0000
Fe 0.5000 0.5000 0.5000
O 0.0000 0.0000 0.0000
```

Results
The space group is Pm-3m, No. 221. The energy above the most stable polymorph in this dataset is 0.0 meV/atom.

---

## Cs4FeO4 (GGA+U)

Data for an optimized crystal structure of Cs4FeO4. Values from VASP.

```
&SYSTEM
  ibrav = 0, nat = 36, ntyp = 3
/
ATOMIC_SPECIES
Cs 132.91 Cs.upf
Fe 55.84 Fe.upf
O 16.00 O.upf
CELL_PARAMETERS angstrom
7.1175 0.0000 0.0000
0.0000 11.0791 -0.1648
0.0000 -2.0958 11.7921
ATOMIC_POSITIONS crystal
Cs 0.3906 0.1639 0.9974
Cs 0.8906 0.8361 0.5026
Cs 0.6094 0.8361 0.0026
Cs 0.1094 0.1639 0.4974
Cs 0.5868 0.0535 0.3341
Cs 0.0868 0.9465 0.1659
Cs 0.4132 0.9465 0.6659
Cs 0.9132 0.0535 0.8341
Cs 0.7763 0.6127 0.2263
Cs 0.2763 0.3873 0.2737
Cs 0.2237 0.3873 0.7737
Cs 0.7237 0.6127 0.7263
Cs 0.7462 0.4072 0.4353
Cs 0.2462 0.5928 0.0647
Cs 0.2538 0.5928 0.5647
Cs 0.7538 0.4072 0.9353
Fe 0.8546 0.2390 0.1479
Fe 0.3546 0.7610 0.3521
Fe 0.1454 0.7610 0.8521
Fe 0.6454 0.2390 0.6479
O 0.6473 0.3416 0.1605
O 0.1473 0.6584 0.3395
O 0.3527 0.6584 0.8395
O 0.8527 0.3416 0.6605
O 0.7592 0.0882 0.0843
O 0.2592 0.9118 0.4157
O 0.2408 0.9118 0.9157
O 0.7408 0.0882 0.5843
O 0.9764 0.2078 0.2758
O 0.4764 0.7922 0.2242
O 0.0236 0.7922 0.7242
O 0.5236 0.2078 0.7758
O 0.4692 0.3214 0.5752
O 0.9692 0.6786 0.9248
O 0.5308 0.6786 0.4248
O 0.0308 0.3214 0.0752
```

Results
The space group is P2_1/c, No. 14. The energy above the most stable polymorph in this dataset is 0.0 meV/atom.

---

## CsFeO2 (GGA+U)

Data for an optimized crystal structure of CsFeO2. Values from VASP.

```
&SYSTEM
  ibrav = 0, nat = 8, ntyp = 3
/
ATOMIC_SPECIES
Cs 132.91 Cs.upf
Fe 55.84 Fe.upf
O 16.00 O.upf
CELL_PARAMETERS angstrom
7.6631 -0.0927 -0.4227
-2.7260 5.8031 0.3776
-0.6192 -1.0790 4.0789
ATOMIC_POSITIONS crystal
Cs 0.4678 0.2876 0.9163
Cs 0.8257 0.9783 0.3510
Fe 0.0304 0.5999 0.8166
Fe 0.2701 0.6767 0.4010
O 0.4760 0.8015 0.7400
O 0.1778 0.8597 0.2086
O 0.1157 0.4116 0.0712
O 0.7896 0.5056 0.5598
```

Results
The space group is P1, No. 1. The total energy is -5.24 eV per atom.

---

## Cs3FeO3 (GGA+U)

Data for an optimized crystal structure of Cs3FeO3. Values from VASP.

```
&SYSTEM
  ibrav = 0, nat = 28, ntyp = 3
/
ATOMIC_SPECIES
Cs 132.91 Cs.upf
Fe 55.84 Fe.upf
O 16.00 O.upf
CELL_PARAMETERS angstrom
7.2790 0.0000 0.0000
0.0000 8.1921 -0.7475
0.0000 -0.3519 11.5903
ATOMIC_POSITIONS crystal
Cs 0.8720 0.9561 0.8447
Cs 0.6280 0.9561 0.3447
Cs 0.1786 0.6275 0.6984
Cs 0.6699 0.6594 0.5702
Cs 0.3214 0.6275 0.1984
Cs 0.8301 0.6594 0.0702
Cs 0.1699 0.3406 0.9298
Cs 0.6786 0.3725 0.8016
Cs 0.3301 0.3406 0.4298
Cs 0.8214 0.3725 0.3016
Cs 0.3720 0.0439 0.6553
Cs 0.1280 0.0439 0.1553
Fe 0.4235 0.8518 0.9369
Fe 0.0765 0.8518 0.4369
Fe 0.9235 0.1482 0.5631
Fe 0.5765 0.1482 0.0631
O 0.9415 0.9098 0.5853
O 0.5585 0.9098 0.0853
O 0.1871 0.7653 0.9600
O 0.3129 0.7653 0.4600
O 0.5535 0.7194 0.8199
O 0.9465 0.7194 0.3199
O 0.0535 0.2806 0.6801
O 0.4465 0.2806 0.1801
O 0.6871 0.2347 0.5400
O 0.8129 0.2347 0.0400
O 0.4415 0.0902 0.9147
O 0.0585 0.0902 0.4147
```

Results
The space group is P2_1/c, No. 14. The energy above the most stable polymorph in this dataset is 4.4 meV/atom.

---

## Cs3FeO4 (GGA+U)

Data for an optimized crystal structure of Cs3FeO4. Values from VASP.

```
&SYSTEM
  ibrav = 0, nat = 32, ntyp = 3
/
ATOMIC_SPECIES
Cs 132.91 Cs.upf
Fe 55.84 Fe.upf
O 16.00 O.upf
CELL_PARAMETERS angstrom
8.3675 0.0000 0.0000
0.0000 8.4126 0.0000
0.0000 0.0000 10.6586
ATOMIC_POSITIONS crystal
Cs 0.3187 0.5874 0.7500
Cs 0.8187 0.9126 0.7500
Cs 0.6813 0.4126 0.2500
Cs 0.1813 0.0874 0.2500
Cs 0.4665 0.7762 0.0452
Cs 0.9665 0.7238 0.4548
Cs 0.5335 0.2238 0.5452
Cs 0.0335 0.2762 0.9548
Cs 0.5335 0.2238 0.9548
Cs 0.0335 0.2762 0.5452
Cs 0.4665 0.7762 0.4548
Cs 0.9665 0.7238 0.0452
Fe 0.2685 0.0100 0.7500
Fe 0.7685 0.4900 0.7500
Fe 0.7315 0.9900 0.2500
Fe 0.2315 0.5100 0.2500
O 0.1705 0.9432 0.6186
O 0.6705 0.5568 0.8814
O 0.8295 0.0568 0.1186
O 0.3295 0.4432 0.3814
O 0.8295 0.0568 0.3814
O 0.3295 0.4432 0.1186
O 0.1705 0.9432 0.8814
O 0.6705 0.5568 0.6186
O 0.2758 0.2149 0.7500
O 0.7758 0.2851 0.7500
O 0.7242 0.7851 0.2500
O 0.2242 0.7149 0.2500
O 0.4623 0.9456 0.7500
O 0.9623 0.5544 0.7500
O 0.5377 0.0544 0.2500
O 0.0377 0.4456 0.2500
```

Results
The space group is Pnma, No. 62. The total energy is -4.67 eV per atom.

---

## CsFeO2 (GGA+U)

Data for an optimized crystal structure of CsFeO2. Values from VASP.

```
&SYSTEM
  ibrav = 0, nat = 8, ntyp = 3
/
ATOMIC_SPECIES
Cs 132.91 Cs.upf
Fe 55.84 Fe.upf
O 16.00 O.upf
CELL_PARAMETERS angstrom
-1.7301 -0.3473 5.4665
1.1085 -6.7348 1.5283
5.6365 -0.8614 -0.6894
ATOMIC_POSITIONS crystal
Cs 0.2534 0.3752 0.8828
Cs 0.5434 0.7689 0.1995
Fe 0.0397 0.0734 0.3986
Fe 0.7567 0.0714 0.6835
O 0.0037 0.8519 0.6560
O 0.7929 0.2928 0.4261
O 0.3982 0.0724 0.5411
O 0.8981 0.0724 0.0410
```

Results
The space group is C2/m, No. 12. The total energy is -5.59 eV per atom.

---

## Cs2FeO2 (GGA+U)

Data for an optimized crystal structure of Cs2FeO2. Values from VASP.

```
&SYSTEM
  ibrav = 0, nat = 10, ntyp = 3
/
ATOMIC_SPECIES
Cs 132.91 Cs.upf
Fe 55.84 Fe.upf
O 16.00 O.upf
CELL_PARAMETERS angstrom
5.6213 0.0000 2.4820
2.4146 6.5105 2.1379
-0.0013 0.7442 7.6096
ATOMIC_POSITIONS crystal
Cs 0.3211 0.7632 0.5946
Cs 0.6789 0.2368 0.4054
Cs 0.9595 0.3089 0.7722
Cs 0.0405 0.6911 0.2278
Fe 0.6262 0.8775 0.8701
Fe 0.3738 0.1225 0.1299
O 0.7920 0.7621 0.6540
O 0.2080 0.2379 0.3460
O 0.5147 0.8129 0.1578
O 0.4853 0.1871 0.8422
```

Results
The space group is C2/m, No. 12. The total energy is -4.72 eV per atom.